Record 1
# PBE Sm2HoTh, relaxed
# * ΔE to the lowest computed polymorph: 4 meV per atom
# * density: 8.87 g cm⁻³
# * formation energy: 0.02 eV/atom
data_Sm2HoTh
_chemical_formula_sum 'Sm4 Ho2 Th2'
_cell_length_a 3.603
_cell_length_b 6.217
_cell_length_c 11.838
_cell_angle_alpha 85.09
_cell_angle_beta 81.27
_cell_angle_gamma 89.97
_space_group_name_H-M_alt 'P 1'
_space_group_IT_number 1
loop_
_space_group_symop_operation_xyz
'x,y,z'
loop_
_atom_site_label
_atom_site_type_symbol
_atom_site_fract_x
_atom_site_fract_y
_atom_site_fract_z
_atom_site_occupancy
Ho1 Ho 0.378 0.625 0.744 1
Ho2 Ho 0.622 0.375 0.256 1
Sm1 Sm 0.249 0.252 0.002 1
Th1 Th 0.500 0.000 0.500 1
Sm2 Sm 0.751 0.748 0.998 1
Sm3 Sm 0.878 0.126 0.745 1
Sm4 Sm 0.122 0.874 0.255 1
Th2 Th 0.000 0.500 0.500 1

---

Record 2
# PBE AcPmAl, relaxed
# * ΔE to the lowest computed polymorph: 0 meV per atom
# * density: 6.83 g cm⁻³
# * formation energy: -0.15 eV/atom
data_AcPmAl
_chemical_formula_sum 'Ac1 Pm1 Al1'
_cell_length_a 3.740
_cell_length_b 3.740
_cell_length_c 7.424
_cell_angle_alpha 104.59
_cell_angle_beta 104.59
_cell_angle_gamma 90.00
_space_group_name_H-M_alt 'P 1'
_space_group_IT_number 1
loop_
_space_group_symop_operation_xyz
'x,y,z'
loop_
_atom_site_label
_atom_site_type_symbol
_atom_site_fract_x
_atom_site_fract_y
_atom_site_fract_z
_atom_site_occupancy
Pm1 Pm 0.306 0.306 0.611 1
Ac1 Ac 0.018 0.018 0.037 1
Al1 Al 0.676 0.676 0.352 1

---

Record 3
# PBE FeNiOs2, relaxed
# * ΔE to the lowest computed polymorph: 51 meV per atom
# * density: 15.85 g cm⁻³
# * formation energy: 0.15 eV/atom
data_FeNiOs2
_chemical_formula_sum 'Fe1 Ni1 Os2'
_cell_length_a 8.622
_cell_length_b 8.622
_cell_length_c 8.622
_cell_angle_alpha 17.72
_cell_angle_beta 17.72
_cell_angle_gamma 17.72
_space_group_name_H-M_alt 'P 1'
_space_group_IT_number 1
loop_
_space_group_symop_operation_xyz
'x,y,z'
loop_
_atom_site_label
_atom_site_type_symbol
_atom_site_fract_x
_atom_site_fract_y
_atom_site_fract_z
_atom_site_occupancy
Os1 Os 0.500 0.500 0.500 1
Fe1 Fe 0.750 0.750 0.750 1
Ni1 Ni 0.250 0.250 0.250 1
Os2 Os 0.000 0.000 0.000 1

---

Record 4
# PBE VCo3Br9, relaxed
# * density: 3.84 g cm⁻³
# * formation energy from raw total energies: -378 meV per atom
data_VCo3Br9
_chemical_formula_sum 'V2 Co6 Br18'
_cell_length_a 9.125
_cell_length_b 10.022
_cell_length_c 11.082
_cell_angle_alpha 74.93
_cell_angle_beta 65.69
_cell_angle_gamma 62.92
_space_group_name_H-M_alt 'P 1'
_space_group_IT_number 1
loop_
_space_group_symop_operation_xyz
'x,y,z'
loop_
_atom_site_label
_atom_site_type_symbol
_atom_site_fract_x
_atom_site_fract_y
_atom_site_fract_z
_atom_site_occupancy
Br1 Br 0.343 0.175 0.326 1
Br2 Br 0.075 0.573 0.524 1
Br3 Br 0.829 0.073 0.024 1
Co1 Co 0.573 0.247 0.727 1
Co2 Co 0.804 0.563 0.681 1
Br4 Br 0.336 0.291 0.936 1
Br5 Br 0.171 0.083 0.684 1
Br6 Br 0.728 0.739 0.059 1
Br7 Br 0.728 0.407 0.605 1
Co3 Co 0.453 0.747 0.227 1
Br8 Br 0.486 0.496 0.234 1
V1 V 0.021 0.502 0.003 1
Br9 Br 0.260 0.907 0.105 1
Br10 Br 0.934 0.303 0.200 1
Br11 Br 0.784 0.996 0.734 1
Co4 Co 0.999 0.945 0.827 1
Br12 Br 0.061 0.583 0.184 1
Co5 Co 0.952 0.063 0.181 1
Co6 Co 0.229 0.445 0.327 1
Br13 Br 0.474 0.239 0.559 1
Br14 Br 0.800 0.933 0.372 1
V2 V 0.474 0.002 0.503 1
Br15 Br 0.896 0.433 0.872 1
Br16 Br 0.563 0.803 0.700 1
Br17 Br 0.156 0.675 0.826 1
Br18 Br 0.437 0.791 0.436 1

---

Record 5
# PBE ScCdNiBi2, relaxed
# * density: 7.15 g cm⁻³
# * formation energy: 0.54 eV/atom
data_ScCdNiBi2
_chemical_formula_sum 'Sc1 Cd1 Ni1 Bi2'
_cell_length_a 5.629
_cell_length_b 4.651
_cell_length_c 5.629
_cell_angle_alpha 90.00
_cell_angle_beta 90.00
_cell_angle_gamma 90.00
_space_group_name_H-M_alt 'P 1'
_space_group_IT_number 1
loop_
_space_group_symop_operation_xyz
'x,y,z'
loop_
_atom_site_label
_atom_site_type_symbol
_atom_site_fract_x
_atom_site_fract_y
_atom_site_fract_z
_atom_site_occupancy
Bi1 Bi 0.500 0.000 0.000 1
Ni1 Ni 0.000 0.500 0.000 1
Bi2 Bi 0.000 0.000 0.500 1
Cd1 Cd 0.500 0.500 0.500 1
Sc1 Sc 0.000 0.000 0.000 1

---

Record 6
# PBE TiHg2Pb, relaxed
# * density: 10.46 g cm⁻³
# * formation energy: 0.40 eV/atom
data_TiHg2Pb
_chemical_formula_sum 'Ti1 Hg2 Pb1'
_cell_length_a 3.248
_cell_length_b 3.248
_cell_length_c 11.559
_cell_angle_alpha 81.92
_cell_angle_beta 81.92
_cell_angle_gamma 60.00
_space_group_name_H-M_alt 'P 1'
_space_group_IT_number 1
loop_
_space_group_symop_operation_xyz
'x,y,z'
loop_
_atom_site_label
_atom_site_type_symbol
_atom_site_fract_x
_atom_site_fract_y
_atom_site_fract_z
_atom_site_occupancy
Hg1 Hg 0.918 0.918 0.245 1
Ti1 Ti 0.000 0.000 0.000 1
Pb1 Pb 0.500 0.500 0.500 1
Hg2 Hg 0.082 0.082 0.755 1

---

Record 7
# PBE SmGe2Pt3, relaxed
# * density: 13.28 g cm⁻³
# * formation energy: -0.86 eV/atom
data_SmGe2Pt3
_chemical_formula_sum 'Sm3 Ge6 Pt9'
_cell_length_a 4.073
_cell_length_b 8.596
_cell_length_c 10.157
_cell_angle_alpha 106.54
_cell_angle_beta 90.00
_cell_angle_gamma 103.70
_space_group_name_H-M_alt 'P 1'
_space_group_IT_number 1
loop_
_space_group_symop_operation_xyz
'x,y,z'
loop_
_atom_site_label
_atom_site_type_symbol
_atom_site_fract_x
_atom_site_fract_y
_atom_site_fract_z
_atom_site_occupancy
Pt1 Pt 0.325 0.650 0.045 1
Ge1 Ge 0.362 0.724 0.549 1
Ge2 Ge 0.462 0.924 0.222 1
Pt2 Pt 0.675 0.350 0.955 1
Pt3 Pt 0.382 0.763 0.808 1
Pt4 Pt 0.778 0.555 0.612 1
Sm1 Sm 0.154 0.307 0.691 1
Sm2 Sm 0.846 0.693 0.309 1
Pt5 Pt 0.040 0.081 0.330 1
Ge3 Ge 0.800 0.600 0.869 1
Sm3 Sm 0.000 0.000 0.000 1
Ge4 Ge 0.538 0.076 0.778 1
Ge5 Ge 0.200 0.400 0.131 1
Pt6 Pt 0.618 0.237 0.192 1
Pt7 Pt 0.222 0.445 0.388 1
Pt8 Pt 0.500 0.000 0.500 1
Pt9 Pt 0.960 0.919 0.670 1
Ge6 Ge 0.638 0.276 0.451 1

---

Record 8
# PBE AlInOs2, relaxed
# * ΔE to the lowest computed polymorph: 98 meV per atom
# * density: 13.43 g cm⁻³
# * formation energy: 0.20 eV/atom
data_AlInOs2
_chemical_formula_sum 'Al1 In1 Os2'
_cell_length_a 4.584
_cell_length_b 4.584
_cell_length_c 5.186
_cell_angle_alpha 77.91
_cell_angle_beta 77.91
_cell_angle_gamma 37.42
_space_group_name_H-M_alt 'P 1'
_space_group_IT_number 1
loop_
_space_group_symop_operation_xyz
'x,y,z'
loop_
_atom_site_label
_atom_site_type_symbol
_atom_site_fract_x
_atom_site_fract_y
_atom_site_fract_z
_atom_site_occupancy
Os1 Os 0.485 0.485 0.542 1
Os2 Os 0.015 0.015 0.958 1
In1 In 0.250 0.250 0.250 1
Al1 Al 0.750 0.750 0.750 1

---

Record 9
# PBE Tl12CdHg3, relaxed
# * density: 11.15 g cm⁻³
# * formation energy: 0.03 eV/atom
data_Tl12CdHg3
_chemical_formula_sum 'Tl12 Cd1 Hg3'
_cell_length_a 4.745
_cell_length_b 4.745
_cell_length_c 20.945
_cell_angle_alpha 90.00
_cell_angle_beta 90.00
_cell_angle_gamma 90.00
_space_group_name_H-M_alt 'P 1'
_space_group_IT_number 1
loop_
_space_group_symop_operation_xyz
'x,y,z'
loop_
_atom_site_label
_atom_site_type_symbol
_atom_site_fract_x
_atom_site_fract_y
_atom_site_fract_z
_atom_site_occupancy
Tl1 Tl 0.500 0.500 0.000 1
Tl2 Tl 0.500 0.000 0.624 1
Hg1 Hg 0.000 0.000 0.751 1
Tl3 Tl 0.000 0.500 0.878 1
Tl4 Tl 0.000 0.500 0.376 1
Tl5 Tl 0.000 0.500 0.624 1
Hg2 Hg 0.000 0.000 0.500 1
Tl6 Tl 0.500 0.000 0.122 1
Tl7 Tl 0.500 0.000 0.376 1
Tl8 Tl 0.000 0.500 0.122 1
Tl9 Tl 0.500 0.000 0.878 1
Hg3 Hg 0.000 0.000 0.249 1
Tl10 Tl 0.500 0.500 0.751 1
Tl11 Tl 0.500 0.500 0.500 1
Tl12 Tl 0.500 0.500 0.249 1
Cd1 Cd 0.000 0.000 0.000 1

---

Record 10
# PBE BaLi2Mn, relaxed
# * ΔE to the lowest computed polymorph: 0 meV per atom
# * density: 2.92 g cm⁻³
# * formation energy: 0.36 eV/atom
data_BaLi2Mn
_chemical_formula_sum 'Ba1 Li2 Mn1'
_cell_length_a 4.866
_cell_length_b 4.866
_cell_length_c 6.454
_cell_angle_alpha 68.77
_cell_angle_beta 68.77
_cell_angle_gamma 57.28
_space_group_name_H-M_alt 'P 1'
_space_group_IT_number 1
loop_
_space_group_symop_operation_xyz
'x,y,z'
loop_
_atom_site_label
_atom_site_type_symbol
_atom_site_fract_x
_atom_site_fract_y
_atom_site_fract_z
_atom_site_occupancy
Mn1 Mn 0.553 0.553 0.340 1
Ba1 Ba 0.756 0.756 0.738 1
Li1 Li 0.244 0.244 0.266 1
Li2 Li 0.947 0.947 0.157 1

---

Record 11
# PBE LaEr2Mg, relaxed
# * ΔE to the lowest computed polymorph: 77 meV per atom
# * density: 6.69 g cm⁻³
# * formation energy: 0.06 eV/atom
data_LaEr2Mg
_chemical_formula_sum 'La1 Er2 Mg1'
_cell_length_a 3.551
_cell_length_b 3.551
_cell_length_c 11.505
_cell_angle_alpha 81.10
_cell_angle_beta 81.10
_cell_angle_gamma 59.98
_space_group_name_H-M_alt 'P 1'
_space_group_IT_number 1
loop_
_space_group_symop_operation_xyz
'x,y,z'
loop_
_atom_site_label
_atom_site_type_symbol
_atom_site_fract_x
_atom_site_fract_y
_atom_site_fract_z
_atom_site_occupancy
La1 La 0.500 0.500 0.499 1
Er1 Er 0.077 0.077 0.769 1
Er2 Er 0.256 0.256 0.231 1
Mg1 Mg 0.666 0.666 0.001 1

---

Record 12
# PBE Sr2LiSiN3, relaxed
# * density: 3.72 g cm⁻³
# * formation energy from raw total energies: -844 meV per atom
data_Sr2LiSiN3
_chemical_formula_sum 'Sr8 Li4 Si4 N12'
_cell_length_a 7.589
_cell_length_b 7.589
_cell_length_c 9.489
_cell_angle_alpha 66.27
_cell_angle_beta 66.27
_cell_angle_gamma 89.69
_space_group_name_H-M_alt 'P 1'
_space_group_IT_number 1
loop_
_space_group_symop_operation_xyz
'x,y,z'
loop_
_atom_site_label
_atom_site_type_symbol
_atom_site_fract_x
_atom_site_fract_y
_atom_site_fract_z
_atom_site_occupancy
Li1 Li 0.482 0.731 0.591 1
Sr1 Sr 0.094 0.829 0.846 1
N1 N 0.952 0.048 0.500 1
Li2 Li 0.269 0.518 0.409 1
Sr2 Sr 0.154 0.422 0.175 1
Si1 Si 0.804 0.573 0.401 1
Li3 Li 0.268 0.044 0.457 1
N2 N 0.906 0.170 0.178 1
N3 N 0.342 0.088 0.822 1
N4 N 0.315 0.573 0.847 1
Sr3 Sr 0.648 0.411 0.218 1
Li4 Li 0.956 0.732 0.543 1
N5 N 0.226 0.226 0.553 1
Sr4 Sr 0.589 0.352 0.782 1
N6 N 0.574 0.426 0.500 1
Si2 Si 0.798 0.023 0.399 1
Sr5 Sr 0.171 0.906 0.154 1
Sr6 Sr 0.681 0.909 0.151 1
Si3 Si 0.977 0.202 0.601 1
N7 N 0.774 0.774 0.447 1
Si4 Si 0.427 0.196 0.599 1
N8 N 0.547 0.047 0.498 1
Sr7 Sr 0.578 0.846 0.825 1
N9 N 0.953 0.453 0.502 1
N10 N 0.912 0.658 0.178 1
N11 N 0.427 0.685 0.153 1
Sr8 Sr 0.091 0.319 0.849 1
N12 N 0.830 0.094 0.822 1